# BaTeIrAu

Crystalline BaTeIrAu at its relaxed geometry (PBE-GGA, the Open Quantum Materials Database).

Cell lengths 5.1851, 5.1851, 5.1851 Å; angles 60.00, 60.00, 60.00 degrees
Element x y z (fractional)
Ba: 0.0000 0.0000 0.0000
Te: 0.5000 0.5000 0.5000
Ir: 0.2500 0.2500 0.2500
Au: 0.7500 0.7500 0.7500

Energy above the most stable polymorph in this dataset ... 0.152 eV/f.u.

---

# NbGe2N

Crystalline NbGe2N at its relaxed geometry (PBE-GGA, the Open Quantum Materials Database).

Cell lengths 2.9755, 2.9755, 14.3172 Å; angles 90.00, 90.00, 120.00 degrees
Element x y z (fractional)
Ge: 0.3333 0.6667 0.4030
Ge: 0.3333 0.6667 0.0970
Ge: 0.6667 0.3333 0.5970
Ge: 0.6667 0.3333 0.9030
N: 0.0000 0.0000 0.0000
N: 0.0000 0.0000 0.5000
Nb: 0.3333 0.6667 0.7500
Nb: 0.6667 0.3333 0.2500

Calculated total energy ... -52.77 eV for the cell shown

---

# PrGdGa2

Crystalline PrGdGa2 at its relaxed geometry (PBE-GGA, the Open Quantum Materials Database).

Cell lengths 4.1546, 6.0403, 6.0403 Å; angles 43.16, 90.00, 90.00 degrees
Element x y z (fractional)
Ga: 0.5000 0.0700 0.0700
Ga: 0.0000 0.9254 0.9254
Gd: 0.5000 0.3620 0.3620
Pr: 0.0000 0.6426 0.6426

Calculated total energy ... -17.88 eV for the cell shown

---

# NbB4Pd

Crystalline NbB4Pd at its relaxed geometry (PBE-GGA, the Open Quantum Materials Database).

Cell lengths 3.0603, 3.0603, 6.9714 Å; angles 90.00, 90.00, 120.00 degrees
Element x y z (fractional)
B: 0.6667 0.3333 0.2417
B: 0.3333 0.6667 0.7583
B: 0.3333 0.6667 0.2417
B: 0.6667 0.3333 0.7583
Nb: 0.0000 0.0000 0.0000
Pd: 0.0000 0.0000 0.5000

Energy above the most stable polymorph in this dataset ... 0.000 eV/f.u.

---

# LiAlBAu

Crystalline LiAlBAu at its relaxed geometry (PBE-GGA, the Open Quantum Materials Database).

Cell lengths 4.2050, 4.2050, 4.2050 Å; angles 60.00, 60.00, 60.00 degrees
Element x y z (fractional)
Al: 0.0000 0.0000 0.0000
B: 0.2500 0.2500 0.2500
Li: 0.5000 0.5000 0.5000
Au: 0.7500 0.7500 0.7500

Energy above the most stable polymorph in this dataset ... 0.000 eV/f.u.

---

# HfBi

Crystalline HfBi at its relaxed geometry (PBE-GGA, the Open Quantum Materials Database).

Cell lengths 5.9169, 4.7879, 7.9017 Å; angles 90.00, 90.00, 90.00 degrees
Element x y z (fractional)
Bi: 0.7500 0.5000 0.1374
Bi: 0.2500 0.0000 0.2624
Bi: 0.2500 0.5000 0.8626
Bi: 0.7500 0.0000 0.7375
Hf: 0.7500 0.0000 0.3490
Hf: 0.0000 0.5000 0.5000
Hf: 0.2500 0.0000 0.6510
Hf: 0.5000 0.5000 0.5000

Calculated total energy ... -56.21 eV for the cell shown

---

# ZnInSn2

Crystalline ZnInSn2 at its relaxed geometry (PBE-GGA, the Open Quantum Materials Database).

Cell lengths 5.2320, 5.2320, 5.2320 Å; angles 60.00, 60.00, 60.00 degrees
Element x y z (fractional)
Sn: 0.0000 0.0000 0.0000
Sn: 0.2500 0.2500 0.2500
In: 0.7500 0.7500 0.7500
Zn: 0.5000 0.5000 0.5000

Calculated total energy ... -11.56 eV for the cell shown

---

# SrZnSeO

Crystalline SrZnSeO at its relaxed geometry (PBE-GGA, the Open Quantum Materials Database).

Cell lengths 7.1344, 7.1344, 6.1459 Å; angles 90.00, 90.00, 32.98 degrees
Element x y z (fractional)
Se: 0.8359 0.8359 0.4773
Se: 0.1641 0.1641 0.9773
Sr: 0.1486 0.1486 0.4772
Sr: 0.8514 0.8514 0.9772
O: 0.5576 0.5576 0.5561
O: 0.4424 0.4424 0.0561
Zn: 0.4383 0.4383 0.3819
Zn: 0.5617 0.5617 0.8819

Calculated total energy ... -36.93 eV for the cell shown

---

# LuCdInTe3

Crystalline LuCdInTe3 at its relaxed geometry (PBE-GGA, the Open Quantum Materials Database).

Cell lengths 9.8313, 9.8313, 9.6535 Å; angles 102.93, 102.93, 25.46 degrees
Element x y z (fractional)
In: 0.8653 0.8653 0.9248
In: 0.1347 0.1347 0.0752
Te: 0.6646 0.6646 0.3630
Te: 0.3177 0.3177 0.1899
Te: 0.6823 0.6823 0.8101
Te: 0.5000 0.5000 0.0000
Te: 0.0000 0.0000 0.5000
Te: 0.3354 0.3354 0.6370
Cd: 0.5290 0.5290 0.7201
Cd: 0.4710 0.4710 0.2799
Lu: 0.8241 0.8241 0.4136
Lu: 0.1759 0.1759 0.5864

Energy above the most stable polymorph in this dataset ... 0.320 eV/f.u.

---

# TbSc2Cu4Si2Ge2

Crystalline TbSc2Cu4Si2Ge2 at its relaxed geometry (PBE-GGA, the Open Quantum Materials Database).

Cell lengths 7.7291, 7.7291, 7.7291 Å; angles 150.06, 129.19, 60.11 degrees
Element x y z (fractional)
Cu: 0.3689 0.6764 0.6925
Cu: 0.9838 0.6764 0.3075
Cu: 0.0162 0.3236 0.6925
Cu: 0.6311 0.3236 0.3075
Tb: 0.0000 0.0000 0.0000
Sc: 0.6270 0.1270 0.5000
Sc: 0.3730 0.8730 0.5000
Si: 0.2214 0.2214 0.0000
Si: 0.7786 0.7786 0.0000
Ge: 0.6876 0.5000 0.1876
Ge: 0.3124 0.5000 0.8124

Energy above the most stable polymorph in this dataset ... 0.000 eV/f.u.

---

# TlCoNiW

Crystalline TlCoNiW at its relaxed geometry (PBE-GGA, the Open Quantum Materials Database).

Cell lengths 4.3426, 4.3426, 4.3426 Å; angles 60.00, 60.00, 60.00 degrees
Element x y z (fractional)
W: 0.5000 0.5000 0.5000
Co: 0.7500 0.7500 0.7500
Tl: 0.0000 0.0000 0.0000
Ni: 0.2500 0.2500 0.2500

Energy above the most stable polymorph in this dataset ... 0.000 eV/f.u.

---

# Lu4C3S

Crystalline Lu4C3S at its relaxed geometry (PBE-GGA, the Open Quantum Materials Database).

Cell lengths 3.5343, 3.5343, 24.0231 Å; angles 90.00, 90.00, 120.00 degrees
Element x y z (fractional)
Lu: 0.0000 0.0000 0.1726
Lu: 0.0000 0.0000 0.3274
Lu: 0.3333 0.6667 0.4401
Lu: 0.0000 0.0000 0.8274
Lu: 0.6667 0.3333 0.9401
Lu: 0.3333 0.6667 0.0599
Lu: 0.6667 0.3333 0.5599
Lu: 0.0000 0.0000 0.6726
S: 0.6667 0.3333 0.7500
S: 0.3333 0.6667 0.2500
C: 0.3333 0.6667 0.6200
C: 0.3333 0.6667 0.8800
C: 0.0000 0.0000 0.5000
C: 0.6667 0.3333 0.1200
C: 0.6667 0.3333 0.3800
C: 0.0000 0.0000 0.0000

Calculated total energy ... -110.80 eV for the cell shown

---

# LuSiAs

Crystalline LuSiAs at its relaxed geometry (PBE-GGA, the Open Quantum Materials Database).

Cell lengths 4.6250, 4.6250, 4.6250 Å; angles 60.00, 60.00, 60.00 degrees
Element x y z (fractional)
Si: 0.7500 0.7500 0.7500
As: 0.0000 0.0000 0.0000
Lu: 0.2500 0.2500 0.2500

Calculated total energy ... -14.93 eV for the cell shown

---

# TmAsN2O

Crystalline TmAsN2O at its relaxed geometry (PBE-GGA, the Open Quantum Materials Database).

Cell lengths 5.2897, 5.2897, 5.3154 Å; angles 118.86, 118.86, 90.54 degrees
Element x y z (fractional)
N: 0.8069 0.1931 0.0000
N: 0.3474 0.3474 0.1063
N: 0.6526 0.6526 0.8937
N: 0.1931 0.8069 0.0000
Tm: 0.7683 0.7683 0.5286
Tm: 0.2317 0.2317 0.4714
As: 0.0000 0.5000 0.0000
As: 0.5000 0.0000 0.0000
O: 0.8128 0.1872 0.5000
O: 0.1872 0.8128 0.5000

Calculated total energy ... -69.64 eV for the cell shown

---

# PrGeBi

Crystalline PrGeBi at its relaxed geometry (PBE-GGA, the Open Quantum Materials Database).

Cell lengths 8.9411, 8.9411, 4.2272 Å; angles 90.00, 90.00, 150.38 degrees
Element x y z (fractional)
Bi: 0.7475 0.2525 0.2500
Bi: 0.2525 0.7475 0.7500
Pr: 0.9043 0.0957 0.7500
Pr: 0.0957 0.9043 0.2500
Ge: 0.4527 0.5473 0.2500
Ge: 0.5473 0.4527 0.7500

Energy above the most stable polymorph in this dataset ... 0.000 eV/f.u.

---

# CdCl2

Crystalline CdCl2 at its relaxed geometry (PBE-GGA, the Open Quantum Materials Database).

Cell lengths 3.8941, 3.8941, 6.4801 Å; angles 111.23, 111.23, 59.05 degrees
Element x y z (fractional)
Cl: 0.2378 0.2378 0.7557
Cl: 0.7622 0.7622 0.2443
Cd: 0.0000 0.0000 0.0000

Calculated total energy ... -7.84 eV for the cell shown

---

# ErZnSi

Crystalline ErZnSi at its relaxed geometry (PBE-GGA, the Open Quantum Materials Database).

Cell lengths 4.6340, 4.6340, 4.6340 Å; angles 60.00, 60.00, 60.00 degrees
Element x y z (fractional)
Si: 0.2500 0.2500 0.2500
Er: 0.0000 0.0000 0.0000
Zn: 0.7500 0.7500 0.7500

Calculated total energy ... -11.13 eV for the cell shown

---

# Cu15Sb

Crystalline Cu15Sb at its relaxed geometry (PBE-GGA, the Open Quantum Materials Database).

Cell lengths 3.6204, 3.6271, 41.7343 Å; angles 90.00, 90.00, 90.00 degrees
Element x y z (fractional)
Cu: 0.7500 0.0000 0.3076
Cu: 0.7500 0.5000 0.4357
Cu: 0.7500 0.5000 0.6068
Cu: 0.2500 0.5000 0.3077
Cu: 0.7500 0.5000 0.1801
Cu: 0.2500 0.5000 0.4786
Cu: 0.2500 0.5000 0.7351
Cu: 0.2500 0.5000 0.6495
Cu: 0.7500 0.0000 0.6494
Cu: 0.7500 0.0000 0.7352
Cu: 0.7500 0.5000 0.7784
Cu: 0.7500 0.5000 0.6923
Cu: 0.2500 0.5000 0.5643
Cu: 0.7500 0.5000 0.3505
Cu: 0.7500 0.5000 0.2649
Cu: 0.2500 0.0000 0.2648
Cu: 0.2500 0.0000 0.6069
Cu: 0.2500 0.5000 0.8199
Cu: 0.2500 0.0000 0.3506
Cu: 0.2500 0.0000 0.4358
Cu: 0.2500 0.0000 0.5215
Cu: 0.2500 0.0000 0.7785
Cu: 0.7500 0.0000 0.4785
Cu: 0.7500 0.0000 0.3931
Cu: 0.2500 0.0000 0.6924
Cu: 0.2500 0.5000 0.2216
Cu: 0.2500 0.5000 0.3932
Cu: 0.7500 0.5000 0.5214
Cu: 0.7500 0.0000 0.2215
Cu: 0.7500 0.0000 0.5642
Sb: 0.7500 0.0000 0.8349
Sb: 0.2500 0.0000 0.1651

Energy above the most stable polymorph in this dataset ... 0.000 eV/f.u.

---

# PrYTl2Zn2

Crystalline PrYTl2Zn2 at its relaxed geometry (PBE-GGA, the Open Quantum Materials Database).

Cell lengths 4.7438, 4.7438, 7.5264 Å; angles 90.00, 90.00, 120.00 degrees
Element x y z (fractional)
Y: 0.0000 0.0000 0.3475
Tl: 0.6667 0.3333 0.1323
Tl: 0.3333 0.6667 0.6180
Zn: 0.6667 0.3333 0.5402
Zn: 0.3333 0.6667 0.0520
Pr: 0.0000 0.0000 0.8468

Calculated total energy ... -20.72 eV for the cell shown

---

# Na2WS4

Crystalline Na2WS4 at its relaxed geometry (PBE-GGA, the Open Quantum Materials Database).

Cell lengths 8.5641, 6.8887, 11.9235 Å; angles 90.00, 90.00, 90.00 degrees
Element x y z (fractional)
W: 0.2314 0.7500 0.0518
W: 0.7686 0.2500 0.9482
W: 0.2686 0.2500 0.5518
W: 0.7314 0.7500 0.4482
Na: 0.5672 0.2500 0.3451
Na: 0.9328 0.7500 0.8451
Na: 0.0672 0.2500 0.1549
Na: 0.6377 0.7500 0.1038
Na: 0.8623 0.2500 0.6038
Na: 0.1377 0.7500 0.3962
Na: 0.3623 0.2500 0.8962
Na: 0.4328 0.7500 0.6549
S: 0.7601 0.7500 0.6321
S: 0.8514 0.4940 0.3787
S: 0.8514 0.0060 0.3787
S: 0.1486 0.5060 0.6213
S: 0.7399 0.2500 0.1321
S: 0.6486 0.9940 0.8787
S: 0.1486 0.9940 0.6213
S: 0.9830 0.7500 0.1020
S: 0.0170 0.2500 0.8980
S: 0.4830 0.7500 0.3980
S: 0.5170 0.2500 0.6020
S: 0.6486 0.5060 0.8787
S: 0.3514 0.0060 0.1213
S: 0.2399 0.2500 0.3679
S: 0.2601 0.7500 0.8679
S: 0.3514 0.4940 0.1213

Calculated total energy ... -150.98 eV for the cell shown

---

# HfSiAs

Crystalline HfSiAs at its relaxed geometry (PBE-GGA, the Open Quantum Materials Database).

Cell lengths 4.4476, 4.4476, 4.4476 Å; angles 60.00, 60.00, 60.00 degrees
Element x y z (fractional)
Hf: 0.2500 0.2500 0.2500
Si: 0.7500 0.7500 0.7500
As: 0.0000 0.0000 0.0000

Calculated total energy ... -19.53 eV for the cell shown

---

# Hf2MgAg

Crystalline Hf2MgAg at its relaxed geometry (PBE-GGA, the Open Quantum Materials Database).

Cell lengths 4.8939, 4.8939, 4.8939 Å; angles 60.00, 60.00, 60.00 degrees
Site moments in Bohr magnetons follow the coordinates.
Element x y z (fractional)
Hf: 0.2500 0.2500 0.2500  0.34
Hf: 0.0000 0.0000 0.0000  0.42
Ag: 0.5000 0.5000 0.5000  0.02
Mg: 0.7500 0.7500 0.7500  0.00

Calculated total energy ... -23.01 eV for the cell shown

---

# Sc4Ni2Hg5

Crystalline Sc4Ni2Hg5 at its relaxed geometry (PBE-GGA, the Open Quantum Materials Database).

Cell lengths 7.3372, 3.3286, 9.1255 Å; angles 90.00, 93.84, 90.00 degrees
Element x y z (fractional)
Ni: 0.0692 0.0000 0.1307
Ni: 0.9308 0.0000 0.8693
Sc: 0.8204 0.5000 0.6631
Sc: 0.2105 0.5000 0.9379
Sc: 0.1796 0.5000 0.3369
Sc: 0.7895 0.5000 0.0621
Hg: 0.5503 0.0000 0.8372
Hg: 0.1598 0.0000 0.6406
Hg: 0.8402 0.0000 0.3594
Hg: 0.5000 0.0000 0.5000
Hg: 0.4497 0.0000 0.1628

Formation energy ... -0.4120 eV/atom

---

# CoSnMo

Crystalline CoSnMo at its relaxed geometry (PBE-GGA, the Open Quantum Materials Database).

Cell lengths 4.1638, 4.1638, 4.1638 Å; angles 60.00, 60.00, 60.00 degrees
Element x y z (fractional)
Mo: 0.2500 0.2500 0.2500
Co: 0.0000 0.0000 0.0000
Sn: 0.7500 0.7500 0.7500

Calculated total energy ... -21.55 eV for the cell shown